Material: CaP3Br
Method: DFT, PBE
State: optimized geometry

a = 5.333 Å, b = 5.333 Å, c = 5.333 Å
α = 90.00°, β = 90.00°, γ = 90.00°
Atoms (fractional coordinates):
Ca1 0.000 0.000 0.000
P1 0.000 0.000 0.500
P2 0.000 0.500 0.000
P3 0.500 0.000 0.000
Br1 0.500 0.500 0.500

Computed properties:
The calculation puts the density of states at the Fermi level at 3.92 states/eV/cell.

Material: Ca2PBr
Method: DFT, PBE
State: optimized geometry

a = 7.774 Å, b = 7.774 Å, c = 7.774 Å
α = 31.29°, β = 31.29°, γ = 31.29°
Atoms (fractional coordinates):
Ca1 0.000 0.000 0.000
Ca2 0.201 0.201 0.201
P1 0.601 0.601 0.601
Br1 0.774 0.774 0.774

Computed properties:
The calculation puts the density of states at the Fermi level at 0.00 states/eV/cell.

Record order is preserved below.
Formation energy (no corrections): 1.19, -1.51 eV/atom
Record order is preserved below.
Calculated density: 2.33, 2.82 Mg/m³